## DyErPd (PBE)

Data for a relaxed structure of DyErPd.

Summary:
Space-group type: P2_1/c

Lattice parameters (Å, degrees): 6.3830 7.2465 6.9223 90.00 94.80 90.00
Atoms (fractional coordinates):
Dy 0.0826 0.2407 0.0027
Dy 0.0826 0.2593 0.5027
Dy 0.9174 0.7407 0.4973
Dy 0.9174 0.7593 0.9973
Er 0.3990 0.6086 0.2316
Er 0.3990 0.8914 0.7316
Er 0.6010 0.1086 0.2684
Er 0.6010 0.3914 0.7684
Pd 0.2046 0.5507 0.7882
Pd 0.2046 0.9493 0.2882
Pd 0.7954 0.0507 0.7118
Pd 0.7954 0.4493 0.2118

=====

## Dy3Er4Pd4 (PBE)

Data for a relaxed structure of Dy3Er4Pd4.

Summary:
Space-group type: Immm

Lattice parameters (Å, degrees): 9.3215 9.3215 9.3215 156.37 121.98 63.53
Atoms (fractional coordinates):
Dy 0.0000 0.0000 0.0000
Dy 0.3936 0.8936 0.5000
Dy 0.6064 0.1064 0.5000
Er 0.0233 0.3374 0.6859
Er 0.3485 0.6626 0.6859
Er 0.6515 0.3374 0.3141
Er 0.9767 0.6626 0.3141
Pd 0.2472 0.2472 0.0000
Pd 0.3216 0.5000 0.8216
Pd 0.6784 0.5000 0.1784
Pd 0.7528 0.7528 0.0000

=====

## DyErPd (PBE)

Data for a relaxed structure of DyErPd.

Summary:
Space-group type: P2_1/c

Lattice parameters (Å, degrees): 7.0219 6.6877 7.3399 90.00 104.68 90.00
Atoms (fractional coordinates):
Dy 0.0629 0.2503 0.0156
Dy 0.0629 0.2497 0.5156
Dy 0.9371 0.7503 0.4844
Dy 0.9371 0.7497 0.9844
Er 0.4606 0.7444 0.1104
Er 0.4606 0.7556 0.6104
Er 0.5394 0.2444 0.3896
Er 0.5394 0.2556 0.8896
Pd 0.2153 0.5429 0.8000
Pd 0.2153 0.9571 0.3000
Pd 0.7847 0.0429 0.7000
Pd 0.7847 0.4571 0.2000

=====

## DyEr4Pd4 (PBE)

Data for a relaxed structure of DyEr4Pd4.

Summary:
Space-group type: P4_2/n

Lattice parameters (Å, degrees): 8.9259 8.9259 5.7292 90.00 90.00 90.00
Atoms (fractional coordinates):
Dy 0.2500 0.2500 0.2500
Dy 0.7500 0.7500 0.7500
Er 0.0725 0.6576 0.1608
Er 0.1576 0.9275 0.6608
Er 0.3424 0.5725 0.6608
Er 0.4275 0.8424 0.1608
Er 0.5725 0.1576 0.8392
Er 0.6576 0.4275 0.3392
Er 0.8424 0.0725 0.3392
Er 0.9275 0.3424 0.8392
Pd 0.0326 0.6258 0.6581
Pd 0.1258 0.9674 0.1581
Pd 0.3742 0.5326 0.1581
Pd 0.4674 0.8742 0.6581
Pd 0.5326 0.1258 0.3419
Pd 0.6258 0.4674 0.8419
Pd 0.8742 0.0326 0.8419
Pd 0.9674 0.3742 0.3419

=====

| no. | formation enthalpy at 0 K (eV/atom) | total energy (eV/atom) | magnetic moment (μB per atom) |
| --- | --- | --- | --- |
| 1 | -0.574 | -5.359 | 0.000 |
| 2 | -0.607 | -5.410 | 0.000 |
| 3 | -0.518 | -5.304 | 0.000 |
| 4 | -0.691 | -5.538 | 0.000 |